(1)
## SrTbNd2Se4 (PBE)

Data for a relaxed SrTbNd2Se4 crystal.

## Properties
mass density: 6.6 Mg/m³
raw formation energy: -42.6 kcal/mol of atoms
uncorrected energy: -44.6 eV for the cell shown

Cell: 7.335 4.208 7.376 Å, 90.00 109.00 90.00°
Space group P2/m (No. 10)
Symmetry-distinct sites (fractional):
Sr: 0.000 0.000 0.000 [1 per cell]
Tb: 0.500 0.500 0.000 [1 per cell]
Nd: 0.000 0.500 0.500 [1 per cell]
Nd: 0.500 0.000 0.500 [1 per cell]
Se: 0.258 0.500 0.250 [2 per cell]
Se: 0.260 0.000 0.757 [2 per cell]

=====

(2)
## SrTb2Nd3Se6 (PBE)

Data for a relaxed SrTb2Nd3Se6 crystal.

## Properties
mass density: 6.9 Mg/m³
raw formation energy: -42.2 kcal/mol of atoms
uncorrected energy: -136.3 eV for the cell shown

Cell: 7.255 12.582 7.355 Å, 90.00 109.17 90.00°
Space group C2/m (No. 12)
Symmetry-distinct sites (fractional):
Sr: 0.000 0.000 0.000 [2 per cell]
Tb: 0.000 0.333 0.000 [4 per cell]
Nd: 0.000 0.160 0.500 [4 per cell]
Nd: 0.000 0.500 0.500 [2 per cell]
Se: 0.237 0.500 0.238 [4 per cell]
Se: 0.247 0.328 0.754 [8 per cell]